The following is a GGA+U calculation of a geometry-optimized GdNiO3 structure, from Alexandria.

- electronic total energy (eV/atom) = -8.4319

```
GdNiO3
1.0
-3.486 -3.214 2.370
3.464 -0.555 4.341
-3.239 5.983 3.350
Ni O Gd
4 12 4
Direct
0.000 0.500 0.000
0.500 0.000 0.500
0.000 0.500 0.500
0.500 0.000 0.000
0.201 0.199 0.950
0.299 0.699 0.550
0.096 0.474 0.250
0.799 0.801 0.050
0.299 0.699 0.950
0.201 0.199 0.550
0.404 0.974 0.250
0.904 0.526 0.750
0.701 0.301 0.450
0.701 0.301 0.050
0.799 0.801 0.450
0.596 0.026 0.750
0.517 0.568 0.250
0.983 0.068 0.250
0.483 0.432 0.750
0.017 0.932 0.750
```